## Mo2PBrCl (PBE-GGA)

Data for Mo2PBrCl after structural relaxation.

Results
* space group: P4/mmm (123)
* V: 23.8 Å³/atom
* calculated total energy: -4.230 eV/atom
* N(E_F): 4.0 states/eV/cell
* mass density: 4.72 Mg/m³

a = 4.8683 Å, b = 5.0216 Å, c = 4.8683 Å
α = 90.00°, β = 90.00°, γ = 90.00°
Fractional coordinates of all 5 atoms:
P1 0.5000 0.5000 0.5000
Mo1 0.0000 0.0000 0.5000
Mo2 0.5000 0.0000 0.0000
Br1 0.0000 0.0000 0.0000
Cl1 0.0000 0.5000 0.0000